No. 1
DFT (PBE) results for a relaxed structure of Ba2LaIr.

**Total magnetic moment**: 0.00 μB/f.u.
**Polymorph energy (0 for the lowest one)**: 0 meV/atom
**Total energy**: -4.690 eV per atom

Structure (CIF):
```
data_Ba2LaIr
_chemical_formula_sum 'Ba2 La1 Ir1'
_cell_length_a 4.3811
_cell_length_b 4.3810
_cell_length_c 11.0593
_cell_angle_alpha 78.61
_cell_angle_beta 78.61
_cell_angle_gamma 59.95
_symmetry_space_group_name_H-M 'P 1'
_symmetry_Int_Tables_number 1
_symmetry_space_group_name_Hall 'P 1'
loop_
_atom_site_label
_atom_site_fract_x
_atom_site_fract_y
_atom_site_fract_z
Ba1 0.9926 0.9926 0.0193
Ba2 0.7830 0.7830 0.6519
Ir1 0.5093 0.5093 0.4734
La1 0.2151 0.2151 0.3554
```


No. 2
DFT (PBE) results for a relaxed structure of BaLaIr2.

**Total magnetic moment**: 0.00 μB/f.u.
**Polymorph energy (0 for the lowest one)**: 35 meV/atom
**Total energy**: -6.311 eV per atom

Structure (CIF):
```
data_BaLaIr2
_chemical_formula_sum 'Ba1 La1 Ir2'
_cell_length_a 3.5518
_cell_length_b 3.5518
_cell_length_c 9.3828
_cell_angle_alpha 67.69
_cell_angle_beta 67.69
_cell_angle_gamma 89.87
_symmetry_space_group_name_H-M 'P 1'
_symmetry_Int_Tables_number 1
_symmetry_space_group_name_Hall 'P 1'
loop_
_atom_site_label
_atom_site_fract_x
_atom_site_fract_y
_atom_site_fract_z
Ir1 0.5351 0.5351 0.4650
Ir2 0.9649 0.9649 0.0350
La1 0.2500 0.2500 0.2500
Ba1 0.7500 0.7500 0.7500
```


No. 3
DFT (PBE) results for a relaxed structure of BaLa2Ir2.

**Total magnetic moment**: 0.00 μB/f.u.
**Polymorph energy (0 for the lowest one)**: 0 meV/atom
**Total energy**: -6.315 eV per atom

Structure (CIF):
```
data_BaLa2Ir2
_chemical_formula_sum 'Ba1 La2 Ir2'
_cell_length_a 4.9392
_cell_length_b 4.9392
_cell_length_c 6.9556
_cell_angle_alpha 69.20
_cell_angle_beta 69.20
_cell_angle_gamma 90.00
_symmetry_space_group_name_H-M 'P 1'
_symmetry_Int_Tables_number 1
_symmetry_space_group_name_Hall 'P 1'
loop_
_atom_site_label
_atom_site_fract_x
_atom_site_fract_y
_atom_site_fract_z
Ir1 0.6110 0.6110 0.7780
Ir2 0.3890 0.3890 0.2220
La1 0.2500 0.7500 0.5000
La2 0.7500 0.2500 0.5000
Ba1 0.0000 0.0000 0.0000
```


No. 4
DFT (PBE) results for a relaxed structure of Ba2LaIr.

**Total magnetic moment**: 0.00 μB/f.u.
**Polymorph energy (0 for the lowest one)**: 511 meV/atom
**Total energy**: -4.178 eV per atom

Structure (CIF):
```
data_Ba2LaIr
_chemical_formula_sum 'Ba2 La1 Ir1'
_cell_length_a 4.5984
_cell_length_b 4.5984
_cell_length_c 5.9647
_cell_angle_alpha 90.00
_cell_angle_beta 90.00
_cell_angle_gamma 90.00
_symmetry_space_group_name_H-M 'P 1'
_symmetry_Int_Tables_number 1
_symmetry_space_group_name_Hall 'P 1'
loop_
_atom_site_label
_atom_site_fract_x
_atom_site_fract_y
_atom_site_fract_z
Ir1 0.5000 0.0000 0.5000
Ba1 0.0000 0.0000 0.0000
Ba2 0.5000 0.5000 0.0000
La1 0.0000 0.5000 0.5000
```